[1]
Na12Tl3Hg: relaxed, PBE-GGA.

Energy of formation from the pure elements: -88 meV per atom
Crystal system: tetragonal
Raw total energy: -24.64 eV/cell

Unit cell a=4.999 b=4.999 c=19.402 alpha=90.00 beta=90.00 gamma=90.00
Atoms (fractional coordinates):
Na 0.000 0.000 0.000
Na 0.000 0.000 0.248
Na 0.000 0.000 0.500
Na 0.000 0.000 0.752
Na 0.000 0.500 0.122
Na 0.000 0.500 0.375
Na 0.000 0.500 0.625
Na 0.000 0.500 0.878
Na 0.500 0.000 0.122
Na 0.500 0.000 0.375
Na 0.500 0.000 0.625
Na 0.500 0.000 0.878
Tl 0.500 0.500 0.249
Tl 0.500 0.500 0.500
Tl 0.500 0.500 0.751
Hg 0.500 0.500 0.000

---

[2]
Li2SmPN: relaxed, PBE-GGA.

Crystal system: tetragonal
Raw total energy: -52.11 eV/cell
Formation energy without anion corrections: -3.77 eV per formula unit

Unit cell a=6.246 b=6.246 c=6.246 alpha=124.29 beta=124.29 gamma=82.72
Atoms (fractional coordinates):
Li 0.184 0.684 0.867
Li 0.316 0.184 0.500
Li 0.684 0.816 0.500
Li 0.816 0.316 0.133
Sm 0.250 0.250 0.000
Sm 0.750 0.750 0.000
P 0.250 0.750 0.500
P 0.750 0.250 0.500
N 0.000 0.000 0.000
N 0.500 0.500 0.000

---

[3]
PrNdZnBi: relaxed, PBE-GGA.

Energy of formation from the pure elements: -467 meV per atom
Crystal system: cubic
Raw total energy: -16.57 eV/cell

Unit cell a=5.458 b=5.458 c=5.458 alpha=60.00 beta=60.00 gamma=60.00
Atoms (fractional coordinates):
Pr 0.000 0.000 0.000
Nd 0.500 0.500 0.500
Zn 0.250 0.250 0.250
Bi 0.750 0.750 0.750

---

[4]
Rb3BaMo: relaxed, PBE-GGA.

Energy of formation from the pure elements: 1590 meV per atom
Crystal system: cubic
Raw total energy: -7.71 eV/cell

Unit cell a=8.274 b=8.274 c=8.274 alpha=90.00 beta=90.00 gamma=90.00
Atoms (fractional coordinates):
Rb 0.000 0.000 0.500
Rb 0.000 0.500 0.000
Rb 0.500 0.000 0.000
Ba 0.000 0.000 0.000
Mo 0.500 0.500 0.500

---

[5]
HgAsSe2: relaxed, PBE-GGA.

Crystal system: tetragonal
Raw total energy: -10.31 eV/cell
Formation energy without anion corrections: 1.61 eV per formula unit

Unit cell a=3.844 b=3.844 c=6.891 alpha=90.00 beta=90.00 gamma=90.00
Atoms (fractional coordinates):
Hg 0.000 0.000 0.000
As 0.500 0.500 0.000
Se 0.000 0.500 0.500
Se 0.500 0.000 0.500

---

[6]
BeTl2Si: relaxed, PBE-GGA.

Crystal system: tetragonal
Raw total energy: -10.88 eV/cell
Formation energy without anion corrections: 3.01 eV per formula unit

Unit cell a=3.213 b=3.213 c=8.252 alpha=90.00 beta=90.00 gamma=90.00
Atoms (fractional coordinates):
Be 0.000 0.000 0.000
Tl 0.500 0.500 0.228
Tl 0.500 0.500 0.772
Si 0.000 0.000 0.500

---

[7]
Ba4TcCl: relaxed, PBE-GGA.

Crystal system: cubic
Raw total energy: -15.37 eV/cell
Formation energy without anion corrections: 4.53 eV per formula unit

Unit cell a=7.249 b=7.249 c=7.249 alpha=60.00 beta=60.00 gamma=60.00
Atoms (fractional coordinates):
Ba 0.376 0.376 0.376
Ba 0.376 0.376 0.873
Ba 0.376 0.873 0.376
Ba 0.873 0.376 0.376
Tc 0.750 0.750 0.750
Cl 0.000 0.000 0.000

---

[8]
CsBa2Si: relaxed, PBE-GGA.

Crystal system: tetragonal
Raw total energy: -10.33 eV/cell
Formation energy without anion corrections: -0.21 eV per formula unit

Unit cell a=4.207 b=4.207 c=12.143 alpha=90.00 beta=90.00 gamma=90.00
Atoms (fractional coordinates):
Cs 0.000 0.000 0.000
Ba 0.500 0.500 0.355
Ba 0.500 0.500 0.645
Si 0.000 0.000 0.500

---

[9]
TiGeSb2I: relaxed, PBE-GGA.

Crystal system: tetragonal
Raw total energy: -17.95 eV/cell
Formation energy without anion corrections: 4.35 eV per formula unit

Unit cell a=5.321 b=5.321 c=5.498 alpha=90.00 beta=90.00 gamma=90.00
Atoms (fractional coordinates):
Ti 0.000 0.000 0.000
Ge 0.500 0.500 0.500
Sb 0.000 0.500 0.500
Sb 0.500 0.000 0.500
I 0.500 0.500 0.000

---

[10]
Er3Te: relaxed, PBE-GGA.

Crystal system: orthorhombic
Raw total energy: -18.87 eV/cell
Formation energy without anion corrections: -2.04 eV per formula unit

Unit cell a=6.255 b=6.255 c=6.255 alpha=145.17 beta=67.86 gamma=123.78
Atoms (fractional coordinates):
Er 0.000 0.000 0.000
Er 0.388 0.612 0.776
Er 0.836 0.612 0.224
Te 0.425 0.925 0.500

---

[11]
SmTl2Te4As: relaxed, PBE-GGA.

Crystal system: monoclinic
Raw total energy: -31.16 eV/cell
Formation energy without anion corrections: -4.49 eV per formula unit

Unit cell a=7.711 b=4.413 c=8.450 alpha=90.00 beta=107.67 gamma=90.00
Atoms (fractional coordinates):
Sm 0.000 0.000 0.000
Tl 0.000 0.500 0.500
Tl 0.500 0.000 0.500
Te 0.255 0.500 0.211
Te 0.282 0.000 0.798
Te 0.718 0.000 0.202
Te 0.745 0.500 0.789
As 0.500 0.500 0.000

---

[12]
YHoPdAu: relaxed, PBE-GGA.

Energy of formation from the pure elements: -911 meV per atom
Crystal system: orthorhombic
Raw total energy: -23.15 eV/cell

Unit cell a=4.660 b=5.646 c=5.646 alpha=38.70 beta=90.00 gamma=90.00
Atoms (fractional coordinates):
Y 0.000 0.000 0.000
Ho 0.500 0.276 0.276
Pd 0.000 0.726 0.726
Au 0.500 0.554 0.554

---

[13]
AgGePdAu: relaxed, PBE-GGA.

Energy of formation from the pure elements: -65 meV per atom
Crystal system: cubic
Raw total energy: -16.20 eV/cell

Unit cell a=4.591 b=4.591 c=4.591 alpha=60.00 beta=60.00 gamma=60.00
Atoms (fractional coordinates):
Ag 0.000 0.000 0.000
Ge 0.500 0.500 0.500
Pd 0.250 0.250 0.250
Au 0.750 0.750 0.750

---

[14]
SmTlSe2: relaxed, PBE-GGA.

Crystal system: trigonal
Raw total energy: -19.51 eV/cell
Formation energy without anion corrections: -5.45 eV per formula unit

Unit cell a=8.269 b=8.269 c=8.269 alpha=29.84 beta=29.84 gamma=29.84
Atoms (fractional coordinates):
Sm 0.000 0.000 0.000
Tl 0.830 0.830 0.830
Se 0.403 0.403 0.403
Se 0.598 0.598 0.598

---

[15]
Ac2TlH12Rh3: relaxed, PBE-GGA.

Crystal system: trigonal
Raw total energy: -76.43 eV/cell

Unit cell a=6.679 b=6.679 c=6.679 alpha=56.75 beta=56.75 gamma=56.75
Atoms (fractional coordinates):
Ac 0.109 0.109 0.109
Ac 0.891 0.891 0.891
Tl 0.500 0.500 0.500
H 0.038 0.631 0.631
H 0.200 0.200 0.639
H 0.200 0.639 0.200
H 0.361 0.800 0.800
H 0.369 0.369 0.962
H 0.369 0.962 0.369
H 0.631 0.038 0.631
H 0.631 0.631 0.038
H 0.639 0.200 0.200
H 0.800 0.361 0.800
H 0.800 0.800 0.361
H 0.962 0.369 0.369
Rh 0.000 0.500 0.500
Rh 0.500 0.000 0.500
Rh 0.500 0.500 0.000

---

[16]
KScOs4: relaxed, PBE-GGA.

Energy of formation from the pure elements: 551 meV per atom
Crystal system: cubic
Raw total energy: -49.04 eV/cell

Unit cell a=5.325 b=5.325 c=5.325 alpha=60.00 beta=60.00 gamma=60.00
Atoms (fractional coordinates):
K 0.000 0.000 0.000
Sc 0.250 0.250 0.250
Os 0.126 0.625 0.625
Os 0.625 0.126 0.625
Os 0.625 0.625 0.126
Os 0.625 0.625 0.625

---

[17]
Na3YTe2Se6: relaxed, PBE-GGA.

Crystal system: monoclinic
Raw total energy: -46.77 eV/cell
Formation energy without anion corrections: -9.15 eV per formula unit

Unit cell a=7.540 b=7.540 c=7.237 alpha=99.19 beta=99.19 gamma=122.92
Atoms (fractional coordinates):
Na 0.000 0.000 0.000
Na 0.322 0.678 0.000
Na 0.678 0.322 0.000
Y 0.500 0.500 0.500
Te 0.160 0.840 0.500
Te 0.840 0.160 0.500
Se 0.089 0.409 0.275
Se 0.250 0.250 0.736
Se 0.409 0.089 0.275
Se 0.591 0.911 0.725
Se 0.750 0.750 0.264
Se 0.911 0.591 0.725

---

[18]
PaAsS: relaxed, PBE-GGA.

Crystal system: tetragonal
Raw total energy: -21.42 eV/cell
Formation energy without anion corrections: -3.14 eV per formula unit

Unit cell a=5.160 b=5.160 c=5.160 alpha=138.03 beta=138.03 gamma=60.86
Atoms (fractional coordinates):
Pa 0.000 0.000 0.000
As 0.342 0.342 0.000
S 0.647 0.647 0.000

---

[19]
HRhS2: relaxed, PBE-GGA.

Crystal system: monoclinic
Raw total energy: -37.09 eV/cell

Unit cell a=6.505 b=6.505 c=3.720 alpha=95.71 beta=95.71 gamma=126.72
Atoms (fractional coordinates):
H 0.083 0.917 0.750
H 0.917 0.083 0.250
Rh 0.309 0.691 0.750
Rh 0.691 0.309 0.250
S 0.097 0.384 0.182
S 0.384 0.097 0.682
S 0.616 0.903 0.318
S 0.903 0.616 0.818

---

[20]
Be2NbGa: relaxed, PBE-GGA.

Energy of formation from the pure elements: 279 meV per atom
Crystal system: tetragonal
Raw total energy: -38.87 eV/cell

Unit cell a=5.268 b=5.268 c=5.268 alpha=104.06 beta=104.06 gamma=120.94
Atoms (fractional coordinates):
Be 0.097 0.625 0.972
Be 0.375 0.347 0.472
Be 0.653 0.125 0.028
Be 0.875 0.903 0.528
Nb 0.250 0.750 0.500
Nb 0.500 0.500 0.000
Ga 0.000 0.000 0.000
Ga 0.750 0.250 0.500